[1]
BaNb6S12 | GGA-PBE | relaxed

It has space group R-3m (No. 166, hexagonal axes), with a = 11.9363 Å, b = 11.9363 Å, c = 9.2956 Å, α = 90.00°, β = 90.00° and γ = 120.00°. The asymmetric unit holds Ba at (0.0000, 0.0000, 0.0000), Nb at (0.0767, 0.5384, 0.2911), S at (0.0000, 0.3750, 0.5000) and S at (0.0940, 0.1880, 0.3633).

The total magnetization is 0.0 μB per formula unit. The formation energy without anion corrections is -729 meV/atom.

[2]
Sr6Sn2N | GGA-PBE | relaxed

It has space group Fm-3m (No. 225), with a = 10.6264 Å, b = 10.6264 Å, c = 10.6264 Å, α = 90.00°, β = 90.00° and γ = 90.00°. The asymmetric unit holds Sr at (0.0000, 0.0000, 0.2394), Sn at (0.2500, 0.2500, 0.2500) and N at (0.0000, 0.0000, 0.0000).

The energy above the lowest structure with this stoichiometry is 0.00 eV/f.u. The total magnetization is 1.0 μB per formula unit. The formation energy without anion corrections is -624 meV/atom.

[3]
KBiPd | GGA-PBE | relaxed

It has space group I4mm (No. 107), with a = 3.7932 Å, b = 3.7932 Å, c = 12.4399 Å, α = 90.00°, β = 90.00° and γ = 90.00°. The asymmetric unit holds K at (0.0000, 0.0000, 0.0000), Bi at (0.0000, 0.0000, 0.7169) and Pd at (0.0000, 0.0000, 0.2893).

The formation energy comes out at -28.6 kJ/mol of atoms. The energy above the lowest structure with this stoichiometry is 0.16 eV/f.u. The total magnetization is 0.0 μB per formula unit.

[4]
TaSi2Pt | GGA-PBE | relaxed

It has space group P4/mmm (No. 123), with a = 2.8682 Å, b = 2.8682 Å, c = 7.2906 Å, α = 90.00°, β = 90.00° and γ = 90.00°. The asymmetric unit holds Ta at (0.0000, 0.0000, 0.0000), Si at (0.5000, 0.5000, 0.2573) and Pt at (0.0000, 0.0000, 0.5000).

The total magnetization is 0.0 μB per formula unit. The formation energy without anion corrections is -150 meV/atom.

[5]
PrTmCdGa | GGA-PBE | relaxed

It has space group P4mm (No. 99), with a = 3.6520 Å, b = 3.6520 Å, c = 7.6324 Å, α = 90.00°, β = 90.00° and γ = 90.00°. The asymmetric unit holds Pr at (0.0000, 0.0000, 0.0000), Tm at (0.0000, 0.0000, 0.4672), Cd at (0.5000, 0.5000, 0.7099) and Ga at (0.5000, 0.5000, 0.2533).

The formation energy comes out at -42.9 kJ/mol of atoms. The energy above the lowest structure with this stoichiometry is 0.00 eV/f.u. The total magnetization is 0.0 μB per formula unit.

[6]
Tb3YEr3 | GGA-PBE | relaxed

It has space group R-3 (No. 148, hexagonal axes), with a = 6.1439 Å, b = 6.1439 Å, c = 42.4846 Å, α = 90.00°, β = 90.00° and γ = 120.00°. The asymmetric unit holds Tb at (0.0002, 0.3313, 0.1325), Y at (0.0000, 0.0000, 0.3333) and Er at (0.0001, 0.3342, 0.9335).

The formation energy comes out at 14.3 kJ/mol of atoms. The energy above the lowest structure with this stoichiometry is 0.99 eV/f.u. The total magnetization is 0.0 μB per formula unit.